(1)
This record from Alexandria via LeMat-Bulk describes crystalline Ce2SiF at its relaxed geometry. The functional is GGA-PBE.

Cell and atoms, written as POSCAR:
```
Ce2SiF
1.0
-0.698 0.623 -3.916
0.175 -3.078 -2.591
-6.143 -1.907 -1.279
Si Ce F
1 2 1
Cartesian
0.000 0.000 0.000
-4.855 -3.245 -5.861
-1.811 -1.117 -1.925
-3.333 -2.181 -3.893
```

The calculation puts the calculated volume at 86.1 Å³/f.u. The uncorrected formation energy comes out at -1.491 eV/atom.

(2)
This record from Alexandria via LeMat-Bulk describes crystalline Ce2SiF at its relaxed geometry. The functional is GGA-PBE.

Cell and atoms, written as POSCAR:
```
Ce2SiF
1.0
-1.635 0.240 3.536
-3.845 -0.531 0.413
-0.801 -6.802 2.246
Ce Si F
2 1 1
Cartesian
-1.067 -5.064 2.005
-1.573 -1.755 1.546
-4.462 -6.943 4.872
-3.120 -3.679 3.116
```

The calculation puts the calculated volume at 90.3 Å³/f.u. The uncorrected formation energy comes out at -1.345 eV/atom.

(3)
This record from Alexandria via LeMat-Bulk describes crystalline Ce2SmF11 at its relaxed geometry. The functional is GGA-PBE.

Cell and atoms, written as POSCAR:
```
Ce2SmF11
1.0
7.457 0.000 3.887
3.452 7.634 2.474
0.190 -0.125 8.733
Ce Sm F
4 2 22
Cartesian
7.239 5.170 6.975
3.860 2.339 8.119
7.148 1.291 10.907
3.951 6.218 4.187
8.324 5.632 11.320
2.775 1.877 3.773
7.366 5.344 9.170
3.732 2.165 5.923
2.697 4.201 7.909
9.761 7.062 12.549
8.401 3.308 7.185
1.337 0.447 2.545
6.013 5.920 11.767
5.085 1.589 3.327
5.549 3.755 7.547
0.000 0.000 0.000
9.268 5.973 7.210
1.830 1.536 7.884
5.793 2.093 9.378
5.305 5.416 5.716
6.779 7.324 6.917
4.319 0.185 8.177
3.247 2.295 10.235
1.074 1.334 5.306
7.851 5.214 4.859
10.024 6.175 9.787
3.639 4.064 3.843
7.459 3.445 11.251
```

The calculation puts the calculated volume at 246.1 Å³/f.u. The uncorrected formation energy comes out at -3.836 eV/atom.

(4)
This record from Alexandria via LeMat-Bulk describes crystalline CeSm2F at its relaxed geometry. The functional is GGA-PBE.

Cell and atoms, written as POSCAR:
```
CeSm2F
1.0
3.292 0.000 0.000
1.646 2.851 0.000
1.646 0.950 10.362
Ce Sm F
1 2 1
Cartesian
0.000 0.000 0.000
1.646 0.950 7.099
4.938 2.851 3.263
3.292 1.901 5.181
```

The calculation puts the calculated volume at 97.3 Å³/f.u. The uncorrected formation energy comes out at -0.908 eV/atom.

(5)
This record from Alexandria via LeMat-Bulk describes crystalline CeSmF at its relaxed geometry. The functional is GGA-PBE.

Cell and atoms, written as POSCAR:
```
CeSmF
1.0
6.535 0.000 0.000
0.000 5.595 0.111
0.000 -0.884 7.467
Sm Ce F
4 4 4
Cartesian
2.789 0.928 4.701
6.056 0.985 2.822
3.746 3.783 2.878
0.479 3.726 4.756
0.525 3.818 0.792
2.742 1.021 0.736
6.010 0.893 6.787
3.793 3.690 6.843
1.622 5.158 2.946
1.646 2.361 2.891
4.914 -0.447 4.632
4.889 2.350 4.688
```

The calculation puts the calculated volume at 68.4 Å³/f.u. The uncorrected formation energy comes out at -1.476 eV/atom.

(6)
This record from Alexandria via LeMat-Bulk describes crystalline Ce2SmF8 at its relaxed geometry. The functional is GGA-PBE.

Cell and atoms, written as POSCAR:
```
Ce2SmF8
1.0
3.784 0.000 -1.152
-0.990 5.726 -3.252
0.007 0.000 6.817
Sm Ce F
1 2 8
Cartesian
1.892 0.000 -0.576
0.020 3.913 0.065
2.782 1.814 2.348
1.610 5.047 -1.504
0.745 3.269 2.447
0.389 0.793 1.278
-0.305 1.766 -1.003
2.413 4.934 1.135
2.057 2.458 -0.034
1.192 0.680 3.917
3.107 3.961 3.416
```

The calculation puts the calculated volume at 147.8 Å³/f.u. The uncorrected formation energy comes out at -3.779 eV/atom.

(7)
This record from Alexandria via LeMat-Bulk describes crystalline Ce2SmF8 at its relaxed geometry. The functional is GGA-PBE.

Cell and atoms, written as POSCAR:
```
Ce2SmF8
1.0
-1.495 -1.488 3.438
2.632 -4.769 -0.919
5.193 5.342 2.204
Ce Sm F
2 1 8
Cartesian
2.899 0.761 3.956
3.431 -1.677 0.766
-0.748 -0.744 1.719
5.098 0.962 2.633
3.128 -3.907 2.036
3.605 -1.473 3.296
3.979 2.665 5.250
2.724 0.558 1.426
3.201 2.991 2.687
1.231 -1.878 2.089
2.350 -3.580 -0.527
```

The calculation puts the calculated volume at 157.6 Å³/f.u. The uncorrected formation energy comes out at -3.852 eV/atom.

(8)
This record from Alexandria via LeMat-Bulk describes crystalline Ce2SnF11 at its relaxed geometry. The functional is GGA-PBE.

Cell and atoms, written as POSCAR:
```
Ce2SnF11
1.0
-3.372 -1.913 -7.380
3.591 -6.068 -4.776
-5.780 -6.239 -0.450
Ce Sn F
4 2 22
Cartesian
-1.571 -7.366 -8.201
-3.990 -6.855 -4.405
-6.932 -7.835 -7.515
1.371 -6.386 -5.090
-4.171 -10.666 -9.454
-1.390 -3.555 -3.151
-3.015 -9.152 -8.511
-2.546 -5.069 -4.094
-2.210 -8.019 -3.483
-4.094 -12.157 -10.966
-3.351 -6.202 -9.122
-1.467 -2.064 -1.639
-3.991 -11.422 -7.477
-1.569 -2.799 -5.129
-2.780 -7.111 -6.303
0.000 0.000 0.000
-1.341 -7.777 -10.309
-4.220 -6.445 -2.297
-5.190 -7.388 -6.317
-0.370 -6.833 -6.289
0.254 -8.761 -8.091
-5.814 -5.460 -4.515
-5.464 -8.540 -3.877
-2.503 -4.474 -1.576
-0.097 -5.682 -8.729
-3.058 -9.748 -11.030
-0.037 -4.755 -4.288
-5.524 -9.467 -8.317
```

The calculation puts the calculated volume at 229.8 Å³/f.u. The uncorrected formation energy comes out at -3.320 eV/atom.

(9)
This record from Alexandria via LeMat-Bulk describes crystalline Ce4Sn2F at its relaxed geometry. The functional is GGA-PBE.

Cell and atoms, written as POSCAR:
```
Ce4Sn2F
1.0
-2.153 -1.327 4.080
-0.036 -4.559 -1.502
8.775 1.682 2.354
Sn Ce F
2 4 1
Cartesian
0.989 -3.285 2.278
5.596 -0.919 2.655
3.871 -3.758 3.645
2.714 -0.446 1.287
-0.018 -2.280 -0.751
-1.077 -0.663 2.040
0.000 0.000 0.000
```

The calculation puts the calculated volume at 198.0 Å³/f.u. The uncorrected formation energy comes out at -1.002 eV/atom.

(10)
This record from Alexandria via LeMat-Bulk describes crystalline SrCe2F8 at its relaxed geometry. The functional is GGA-PBE.

Cell and atoms, written as POSCAR:
```
SrCe2F8
1.0
3.762 0.000 -1.145
-0.951 5.504 -3.126
0.068 0.253 6.978
Sr Ce F
1 2 8
Cartesian
1.881 0.000 -0.572
0.054 3.833 0.179
2.824 1.924 2.528
1.658 4.930 -1.303
0.796 3.284 2.614
0.484 0.986 1.589
-0.289 1.674 -0.951
2.395 4.771 1.118
2.083 2.473 0.093
1.220 0.827 4.010
3.168 4.083 3.658
```

The calculation puts the calculated volume at 148.1 Å³/f.u. The uncorrected formation energy comes out at -3.888 eV/atom.

(11)
This record from Alexandria via LeMat-Bulk describes crystalline SrCe2F11 at its relaxed geometry. The functional is GGA-PBE.

Cell and atoms, written as POSCAR:
```
SrCe2F11
1.0
7.738 0.000 4.033
3.528 7.858 2.672
0.221 -0.007 9.015
Sr Ce F
2 4 22
Cartesian
8.615 5.888 11.790
2.872 1.963 3.930
7.685 5.457 7.301
3.801 2.394 8.419
7.305 1.525 11.136
4.181 6.326 4.584
7.695 5.598 9.431
3.791 2.253 6.290
2.773 4.256 8.242
10.098 7.521 13.067
8.713 3.595 7.478
1.388 0.330 2.653
6.154 6.179 12.388
5.332 1.672 3.332
5.743 3.926 7.860
0.000 0.000 0.000
9.842 6.394 7.464
1.644 1.457 8.256
5.935 2.462 9.462
5.551 5.389 6.258
7.100 7.507 7.249
4.387 0.344 8.471
3.330 2.424 10.498
1.002 1.495 5.526
8.156 5.427 5.222
10.485 6.356 10.194
3.803 4.277 4.134
7.683 3.574 11.587
```

The calculation puts the calculated volume at 270.6 Å³/f.u. The uncorrected formation energy comes out at -3.481 eV/atom.

(12)
This record from Alexandria via LeMat-Bulk describes crystalline SrCe2F8 at its relaxed geometry. The functional is GGA-PBE.

Cell and atoms, written as POSCAR:
```
SrCe2F8
1.0
-2.597 -0.375 3.553
-2.414 -5.017 -3.322
5.602 -1.477 2.911
Sr Ce F
1 2 8
Cartesian
-1.299 -0.187 1.776
3.026 -2.615 0.908
0.162 -3.879 -1.319
-0.889 -6.089 2.122
1.254 -5.143 3.788
1.231 -4.229 0.819
-1.817 -4.367 -0.072
2.408 -2.501 3.213
-0.640 -2.639 2.323
-0.664 -1.726 -0.646
1.480 -0.780 1.020
```

The calculation puts the calculated volume at 167.6 Å³/f.u. The uncorrected formation energy comes out at -3.936 eV/atom.

Q: Which of these has the lowest calculated volume?
A: CeSmF